No. 1
Below is RbScTe after structural relaxation, with properties calculated at the GGA-PBE level.

Geometry as extended XYZ:
```
6
Lattice="4.5465 0.0000 0.0000 0.0000 4.5465 0.0000 0.0000 0.0000 11.9931" Properties=species:S:1:pos:R:3 pbc="T T T"
Rb 1.1366 1.1366 2.2020
Rb 3.4099 3.4099 9.7911
Sc 1.1366 3.4099 5.9966
Sc 3.4099 1.1366 5.9966
Te 1.1366 1.1366 7.9327
Te 3.4099 3.4099 4.0604
```

Calculated volume: 247.9 Å³ per cell
Mass density: 3.46 g/cm³
Symmetry: P4/nmm
Crystal system: tetragonal
ΔE_f (raw): -0.751 eV per atom

No. 2
Below is CaY2Co after structural relaxation, with properties calculated at the GGA-PBE level.

Geometry as extended XYZ:
```
4
Lattice="5.0271 0.0000 0.0000 0.0000 5.0271 0.0000 0.0000 0.0000 4.0275" Properties=species:S:1:pos:R:3 pbc="T T T"
Ca 0.0000 0.0000 0.0000
Y 0.0000 2.5136 2.0138
Y 2.5136 0.0000 2.0138
Co 2.5136 2.5136 0.0000
```

Calculated volume: 101.8 Å³ per cell
Energy of formation: 1.3 eV per formula unit
Mass density: 4.52 g/cm³
Symmetry: P4/mmm
Crystal system: tetragonal

No. 3
Below is SmYPbAu after structural relaxation, with properties calculated at the GGA-PBE level.

Geometry as extended XYZ:
```
4
Lattice="0.0000 3.7586 3.7586 3.7586 0.0000 3.7586 3.7586 3.7586 0.0000" Properties=species:S:1:pos:R:3 pbc="T T T"
Sm 0.0000 0.0000 0.0000
Y 3.7586 3.7586 3.7586
Pb 5.6379 5.6379 5.6379
Au 1.8793 1.8793 1.8793
```

Calculated volume: 106.2 Å³ per cell
Energy of formation: -2.5 eV per formula unit
Mass density: 10.06 g/cm³
Symmetry: F-43m
Crystal system: cubic

No. 4
Below is NbClO2 after structural relaxation, with properties calculated at the GGA-PBE level.

Geometry as extended XYZ:
```
8
Lattice="-3.0608 3.0608 4.3341 3.0608 -3.0608 4.3341 3.0608 3.0608 -4.3341" Properties=species:S:1:pos:R:3 pbc="T T T"
Nb 0.0000 0.0000 0.0000
Nb 0.0000 3.0608 2.1670
Cl 3.0608 0.0000 2.1670
Cl 0.0000 0.0000 4.3341
O -0.0065 1.5304 1.0835
O 1.5304 3.0543 3.2506
O 0.0065 4.5912 1.0835
O -1.5304 3.0673 3.2506
```

Calculated volume: 162.4 Å³ per cell
Mass density: 3.28 g/cm³
Symmetry: I-42d
Crystal system: tetragonal
ΔE_f (raw): -1.852 eV per atom

No. 5
Below is MnGaP2S after structural relaxation, with properties calculated at the GGA-PBE level.

Geometry as extended XYZ:
```
5
Lattice="4.2086 0.0000 0.0000 0.0000 4.2086 0.0000 0.0000 0.0000 5.2534" Properties=species:S:1:pos:R:3 pbc="T T T"
Mn 0.0000 0.0000 0.0000
Ga 2.1043 2.1043 2.6267
P 0.0000 2.1043 0.0000
P 2.1043 0.0000 0.0000
S 0.0000 0.0000 2.6267
```

Calculated volume: 93.0 Å³ per cell
Mass density: 3.90 g/cm³
Symmetry: P4/mmm
Crystal system: tetragonal
ΔE_f (raw): 0.299 eV per atom

No. 6
Below is LiHo2Ru after structural relaxation, with properties calculated at the GGA-PBE level.

Geometry as extended XYZ:
```
4
Lattice="1.9259 1.1119 8.5668 -1.9259 1.1119 8.5668 0.0000 -2.2238 8.5668" Properties=species:S:1:pos:R:3 pbc="T T T"
Li 0.0000 0.0000 0.0000
Ho 0.0000 0.0000 5.8308
Ho 0.0000 0.0000 19.8696
Ru 0.0000 0.0000 12.8502
```

Calculated volume: 110.1 Å³ per cell
Energy of formation: -0.2 eV per formula unit
Mass density: 6.61 g/cm³
Symmetry: R-3m
Crystal system: trigonal

- Number 5 is which compound?
  MnGaP2S

- Which of these has the highest calculated volume?
  RbScTe